[1]
A relaxed TbGe3Pt crystal. Source: the Alexandria database, functional PBE. Values from VASP.

- symmetry = P2_1, No. 4
- Fermi-level density of states (states/eV/cell) = 3.56
- ΔH_f (0 K) (meV/atom) = -610
- VASP energy (eV per atom) = -5.514

Geometry as Quantum ESPRESSO input:
```
&SYSTEM
  ibrav = 0, nat = 10, ntyp = 3
/
ATOMIC_SPECIES
Tb 158.93 Tb.upf
Ge 72.64 Ge.upf
Pt 195.08 Pt.upf
ATOMIC_POSITIONS crystal
Tb 0.416 0.317 0.702
Tb 0.916 0.036 0.199
Ge 0.360 0.263 0.202
Ge 0.470 0.872 0.965
Ge 0.971 0.480 0.464
Ge 0.860 0.090 0.700
Ge 0.970 0.481 0.937
Ge 0.471 0.872 0.438
Pt 0.161 0.787 0.701
Pt 0.662 0.566 0.201
CELL_PARAMETERS angstrom
-3.129 -4.919 0.604
1.191 -0.081 5.507
-5.023 3.333 1.127
```

[2]
A relaxed LiTb2NpS4 crystal. Source: the Alexandria database, functional PBE. Values from VASP.

- formation energy without anion corrections (eV per atom) = -1.742
- symmetry = P2/m, No. 10
- Fermi-level density of states (states/eV/cell) = 12.11
- VASP energy (eV per atom) = -6.820

Geometry as Quantum ESPRESSO input:
```
&SYSTEM
  ibrav = 0, nat = 8, ntyp = 4
/
ATOMIC_SPECIES
Li 6.94 Li.upf
Tb 158.93 Tb.upf
Np 237.00 Np.upf
S 32.06 S.upf
ATOMIC_POSITIONS crystal
Li 0.000 0.000 0.000
Tb 0.500 0.000 0.500
Tb 0.000 0.500 0.500
Np 0.500 0.500 0.000
S 0.500 0.244 0.245
S 0.500 0.756 0.755
S 0.000 0.248 0.754
S 0.000 0.752 0.246
CELL_PARAMETERS angstrom
-3.831 -0.592 -0.486
0.937 -0.584 -6.672
0.566 -6.064 2.931
```

[3]
A relaxed SiGeP3 crystal. Source: the Alexandria database, functional PBE. Values from VASP.

- formation energy without anion corrections (eV per atom) = 0.732
- symmetry = Pm-3m, No. 221
- Fermi-level density of states (states/eV/cell) = 3.15
- VASP energy (eV per atom) = -4.522
- E above lowest polymorph (eV per atom) = 0.754

Geometry as Quantum ESPRESSO input:
```
&SYSTEM
  ibrav = 0, nat = 5, ntyp = 3
/
ATOMIC_SPECIES
P 30.97 P.upf
Ge 72.64 Ge.upf
Si 28.09 Si.upf
ATOMIC_POSITIONS crystal
P 0.000 0.500 0.000
P 0.000 0.000 0.500
P 0.500 0.000 0.000
Ge 0.500 0.500 0.500
Si 0.000 0.000 0.000
CELL_PARAMETERS angstrom
-4.208 1.303 1.049
0.951 -0.474 4.402
1.376 4.311 0.167
```

[4]
A relaxed KGeP2S crystal. Source: the Alexandria database, functional PBE. Values from VASP.

- formation energy without anion corrections (eV per atom) = 0.360
- symmetry = P4/mmm, No. 123
- Fermi-level density of states (states/eV/cell) = 3.72
- VASP energy (eV per atom) = -3.773
- E above lowest polymorph (eV per atom) = 0.000

Geometry as Quantum ESPRESSO input:
```
&SYSTEM
  ibrav = 0, nat = 5, ntyp = 4
/
ATOMIC_SPECIES
S 32.06 S.upf
P 30.97 P.upf
Ge 72.64 Ge.upf
K 39.10 K.upf
ATOMIC_POSITIONS crystal
S 0.000 0.000 0.500
P 0.000 0.500 0.000
P 0.500 0.000 0.000
Ge 0.000 0.000 0.000
K 0.500 0.500 0.500
CELL_PARAMETERS angstrom
-1.402 0.831 -4.569
-4.445 -1.623 1.068
-1.410 4.710 1.289
```

[5]
A relaxed Sr8ZnAg2 crystal. Source: the Alexandria database, functional PBE. Values from VASP.

- symmetry = C2/m, No. 12
- Fermi-level density of states (states/eV/cell) = 12.30
- ΔH_f (0 K) (meV/atom) = -102
- VASP energy (eV per atom) = -1.959
- E above lowest polymorph (eV per atom) = 0.000

Geometry as Quantum ESPRESSO input:
```
&SYSTEM
  ibrav = 0, nat = 11, ntyp = 3
/
ATOMIC_SPECIES
Sr 87.62 Sr.upf
Zn 65.41 Zn.upf
Ag 107.87 Ag.upf
ATOMIC_POSITIONS crystal
Sr 0.407 0.551 0.815
Sr 0.666 0.973 0.333
Sr 0.792 0.674 0.583
Sr 0.966 0.207 0.932
Sr 0.208 0.326 0.417
Sr 0.334 0.027 0.667
Sr 0.593 0.449 0.185
Sr 0.034 0.793 0.068
Zn 0.500 0.000 0.000
Ag 0.812 0.280 0.625
Ag 0.188 0.720 0.375
CELL_PARAMETERS angstrom
-1.855 3.172 -4.203
-5.318 -5.642 -1.911
-3.955 4.550 8.888
```

[6]
A relaxed K3LiP2S6 crystal. Source: the Alexandria database, functional PBE. Values from VASP.

- formation energy without anion corrections (eV per atom) = -0.743
- symmetry = P-3m1, No. 164
- Fermi-level density of states (states/eV/cell) = 2.43
- VASP energy (eV per atom) = -4.142

Geometry as Quantum ESPRESSO input:
```
&SYSTEM
  ibrav = 0, nat = 12, ntyp = 4
/
ATOMIC_SPECIES
K 39.10 K.upf
Li 6.94 Li.upf
P 30.97 P.upf
S 32.06 S.upf
ATOMIC_POSITIONS crystal
K 0.333 0.667 0.649
K 0.667 0.333 0.351
K 0.000 0.000 0.000
Li 0.000 0.000 0.500
P 0.667 0.333 0.762
P 0.333 0.667 0.238
S 0.659 0.830 0.298
S 0.170 0.341 0.298
S 0.170 0.830 0.298
S 0.830 0.659 0.702
S 0.341 0.170 0.702
S 0.830 0.170 0.702
CELL_PARAMETERS angstrom
6.979 0.000 0.000
-3.489 6.044 0.000
0.000 0.000 8.435
```